Na2FeH8S2O12 | PBE with a Hubbard U | optimized geometry

Geometry as POSCAR:
```
Na2FeH8S2O12
1.0
5.582 0.000 0.029
0.000 8.388 0.000
-1.978 0.000 11.121
O H S Fe Na
24 16 4 2 4
Direct
0.142 0.726 0.734 O
0.141 0.321 0.128 O
0.312 0.217 0.923 O
0.142 0.774 0.234 O
0.859 0.679 0.872 O
0.858 0.226 0.766 O
0.184 0.869 0.926 O
0.816 0.369 0.574 O
0.720 0.085 0.577 O
0.280 0.585 0.923 O
0.312 0.283 0.423 O
0.372 0.466 0.668 O
0.372 0.034 0.168 O
0.688 0.717 0.577 O
0.628 0.534 0.332 O
0.184 0.631 0.426 O
0.720 0.415 0.077 O
0.280 0.915 0.423 O
0.141 0.179 0.628 O
0.688 0.783 0.077 O
0.858 0.274 0.266 O
0.816 0.131 0.074 O
0.859 0.821 0.372 O
0.628 0.966 0.832 O
0.166 0.297 0.360 H
0.834 0.797 0.140 H
0.734 0.444 0.313 H
0.834 0.703 0.640 H
0.273 0.133 0.160 H
0.734 0.056 0.813 H
0.752 0.772 0.511 H
0.266 0.944 0.187 H
0.166 0.203 0.860 H
0.266 0.556 0.687 H
0.248 0.272 0.989 H
0.273 0.367 0.660 H
0.727 0.633 0.340 H
0.248 0.228 0.489 H
0.727 0.867 0.840 H
0.752 0.728 0.011 H
0.121 0.713 0.865 S
0.121 0.787 0.365 S
0.879 0.287 0.135 S
0.879 0.213 0.635 S
0.500 0.500 0.500 Fe
0.500 0.000 0.000 Fe
0.618 0.071 0.364 Na
0.382 0.929 0.636 Na
0.382 0.571 0.136 Na
0.618 0.429 0.864 Na
```

Computed properties:
Magnetization in μB/cell: 8.0
Uncorrected energy in eV for the cell shown: -274.7